Density functional theory data (GGA-PBE) for an optimized crystal structure of SrCa2Ir.

The structure in POSCAR format:
```
SrCa2Ir
1.0
2.103 1.214 9.880
-2.103 1.214 9.880
0.000 -2.428 9.880
Sr Ca Ir
1 2 1
Direct
0.000 0.000 0.000
0.213 0.213 0.213
0.436 0.436 0.436
0.723 0.723 0.723
```

Computed properties:
Offset from the most stable computed form in meV/atom: 307
Space group: R3m, No. 160
Raw total energy in eV for the cell shown: -14.40
Calculated formation energy in eV/f.u.: 0.15